[1]
The following is a GGA+U calculation of a geometry-optimized NiTe2O5 structure, from Alexandria via LeMat-Bulk.

Values from the calculation:
M_tot (μB per formula unit): 1.99
Electronic total energy (eV/atom): -5.28

abc: 8.4227 9.0614 12.3511
angles: 90.00 90.00 90.00
With the nearest neighbours (Å) after each atom.
Sites, in units of the cell vectors:
Ni: 0.9850 0.5144 0.1235  6 O 2.06-2.17
Ni: 0.4850 0.9856 0.8765  6 O 2.06-2.17
Ni: 0.5150 0.0144 0.3765  6 O 2.06-2.17
Ni: 0.0150 0.4856 0.6235  6 O 2.06-2.17
Ni: 0.0150 0.4856 0.8765  6 O 2.06-2.17
Ni: 0.5150 0.0144 0.1235  6 O 2.06-2.17
Ni: 0.4850 0.9856 0.6235  6 O 2.06-2.17
Ni: 0.9850 0.5144 0.3765  6 O 2.06-2.17
Te: 0.1554 0.8469 0.4853  3 O 1.91-1.99
Te: 0.6554 0.6531 0.5147  3 O 1.91-1.99
Te: 0.3446 0.3469 0.0147  3 O 1.91-1.99
Te: 0.8446 0.1531 0.9853  3 O 1.91-1.99
Te: 0.8446 0.1531 0.5147  3 O 1.91-1.99
Te: 0.3446 0.3469 0.4853  3 O 1.91-1.99
Te: 0.6554 0.6531 0.9853  3 O 1.91-1.99
Te: 0.1554 0.8469 0.0147  3 O 1.91-1.99
Te: 0.1943 0.1023 0.2500  3 O 1.92-2.04
Te: 0.6943 0.3977 0.7500  3 O 1.92-2.04
Te: 0.3057 0.6023 0.2500  3 O 1.92-2.04
Te: 0.8057 0.8977 0.7500  3 O 1.92-2.04
Te: 0.6821 0.3267 0.2500  3 O 1.91-1.93
Te: 0.1821 0.1733 0.7500  3 O 1.91-1.93
Te: 0.8179 0.8267 0.2500  3 O 1.91-1.93
Te: 0.3179 0.6733 0.7500  3 O 1.91-1.93
O: 0.6578 0.1148 0.2500  1 Te 1.93
O: 0.1578 0.3852 0.7500  1 Te 1.93
O: 0.8422 0.6148 0.2500  1 Te 1.93
O: 0.3422 0.8852 0.7500  1 Te 1.93
O: 0.1348 0.4626 0.2500  1 Te 1.92, 2 Ni 2.06
O: 0.6348 0.0374 0.7500  1 Te 1.92, 2 Ni 2.06
O: 0.3652 0.9626 0.2500  1 Te 1.92, 2 Ni 2.06
O: 0.8652 0.5374 0.7500  1 Te 1.92, 2 Ni 2.06
O: 0.4138 0.4893 0.1279  2 Te 1.99-2.04
O: 0.9138 0.0107 0.8721  2 Te 1.99-2.04
O: 0.0862 0.9893 0.3721  2 Te 1.99-2.04
O: 0.5862 0.5107 0.6279  2 Te 1.99-2.04
O: 0.5862 0.5107 0.8721  2 Te 1.99-2.04
O: 0.0862 0.9893 0.1279  2 Te 1.99-2.04
O: 0.9138 0.0107 0.6279  2 Te 1.99-2.04
O: 0.4138 0.4893 0.3721  2 Te 1.99-2.04
O: 0.1485 0.6883 0.1166  1 Te 1.91, 1 Ni 2.09
O: 0.6485 0.8117 0.8834  1 Te 1.91, 1 Ni 2.09
O: 0.3515 0.1883 0.3834  1 Te 1.91, 1 Ni 2.09
O: 0.8515 0.3117 0.6166  1 Te 1.91, 1 Ni 2.09
O: 0.8515 0.3117 0.8834  1 Te 1.91, 1 Ni 2.09
O: 0.3515 0.1883 0.1166  1 Te 1.91, 1 Ni 2.09
O: 0.6485 0.8117 0.6166  1 Te 1.91, 1 Ni 2.09
O: 0.1485 0.6883 0.3834  1 Te 1.91, 1 Ni 2.09
O: 0.1225 0.3870 0.4884  1 Te 1.91, 1 Ni 2.10
O: 0.6225 0.1130 0.5116  1 Te 1.91, 1 Ni 2.10
O: 0.3775 0.8870 0.0116  1 Te 1.91, 1 Ni 2.10
O: 0.8775 0.6130 0.9884  1 Te 1.91, 1 Ni 2.10
O: 0.8775 0.6130 0.5116  1 Te 1.91, 1 Ni 2.10
O: 0.3775 0.8870 0.4884  1 Te 1.91, 1 Ni 2.10
O: 0.6225 0.1130 0.9884  1 Te 1.91, 1 Ni 2.10
O: 0.1225 0.3870 0.0116  1 Te 1.91, 1 Ni 2.10
O: 0.8266 0.3383 0.1310  1 Te 1.91, 1 Ni 2.08
O: 0.3266 0.1617 0.8690  1 Te 1.91, 1 Ni 2.08
O: 0.6734 0.8383 0.3690  1 Te 1.91, 1 Ni 2.08
O: 0.1734 0.6617 0.6310  1 Te 1.91, 1 Ni 2.08
O: 0.1734 0.6617 0.8690  1 Te 1.91, 1 Ni 2.08
O: 0.6734 0.8383 0.1310  1 Te 1.91, 1 Ni 2.08
O: 0.3266 0.1617 0.6310  1 Te 1.91, 1 Ni 2.08
O: 0.8266 0.3383 0.3690  1 Te 1.91, 1 Ni 2.08

---

[2]
The following is a GGA+U calculation of a geometry-optimized Ni3TeO structure, from Alexandria via LeMat-Bulk.

Values from the calculation:
M_tot (μB per formula unit): 3.29
Distance to the lowest polymorph of the same formula (meV per atom): 0.0
Electronic total energy (eV/atom): -3.17

abc: 4.1182 4.1182 4.1182
angles: 90.00 90.00 90.00
With the nearest neighbours (Å) after each atom.
Sites, in units of the cell vectors:
Ni: 0.0000 0.5000 0.0000  2 O 2.06
Ni: 0.0000 0.0000 0.5000  2 O 2.06
Ni: 0.5000 0.0000 0.0000  2 O 2.06
Te: 0.5000 0.5000 0.5000  12 Ni 2.91
O: 0.0000 0.0000 0.0000  6 Ni 2.06

---

[3]
The following is a GGA+U calculation of a geometry-optimized Ni2Te3O8 structure, from Alexandria via LeMat-Bulk.

Values from the calculation:
M_tot (μB per formula unit): 3.94
Electronic total energy (eV/atom): -5.26

abc: 6.8202 6.8202 11.6084
angles: 82.14 82.14 45.64
With the nearest neighbours (Å) after each atom.
Sites, in units of the cell vectors:
Ni: 0.0569 0.4136 0.1448  6 O 2.03-2.22
Ni: 0.5864 0.9431 0.3552  6 O 2.03-2.22
Ni: 0.9431 0.5864 0.8552  6 O 2.03-2.22
Ni: 0.4136 0.0569 0.6448  6 O 2.03-2.22
Te: 0.8243 0.1757 0.7500  4 O 1.90-2.12
Te: 0.1757 0.8243 0.2500  4 O 1.90-2.12
Te: 0.9539 0.3174 0.4434  3 O 1.91-1.99
Te: 0.6826 0.0461 0.0566  3 O 1.91-1.99
Te: 0.0461 0.6826 0.5566  3 O 1.91-1.99
Te: 0.3174 0.9539 0.9434  3 O 1.91-1.99
O: 0.2753 0.2588 0.9735  1 Te 1.97, 1 Ni 2.20
O: 0.7412 0.7247 0.5265  1 Te 1.97, 1 Ni 2.20
O: 0.7247 0.7412 0.0265  1 Te 1.97, 1 Ni 2.20
O: 0.2588 0.2753 0.4735  1 Te 1.97, 1 Ni 2.20
O: 0.5450 0.8546 0.8033  1 Te 1.91, 2 Ni 2.03-2.07
O: 0.1454 0.4550 0.6967  1 Te 1.91, 2 Ni 2.03-2.07
O: 0.4550 0.1454 0.1967  1 Te 1.91, 2 Ni 2.03-2.07
O: 0.8546 0.5450 0.3033  1 Te 1.91, 2 Ni 2.03-2.07
O: 0.9643 0.2620 0.8682  2 Te 1.99-2.12, 1 Ni 2.10
O: 0.7380 0.0357 0.6318  2 Te 1.99-2.12, 1 Ni 2.10
O: 0.0300 0.1330 0.1445  1 Te 1.90, 1 Ni 2.05
O: 0.8670 0.9700 0.3555  1 Te 1.90, 1 Ni 2.05
O: 0.9700 0.8670 0.8555  1 Te 1.90, 1 Ni 2.05
O: 0.1330 0.0300 0.6445  1 Te 1.90, 1 Ni 2.05
O: 0.2620 0.9643 0.3682  2 Te 1.99-2.12, 1 Ni 2.10
O: 0.0357 0.7380 0.1318  2 Te 1.99-2.12, 1 Ni 2.10

---

[4]
The following is a GGA+U calculation of a geometry-optimized ThNiTeO6 structure, from Alexandria via LeMat-Bulk.

Values from the calculation:
M_tot (μB per formula unit): 2.01
Electronic total energy (eV/atom): -6.65

abc: 4.9827 4.9827 9.7967
angles: 90.00 90.00 90.00
With the nearest neighbours (Å) after each atom.
Sites, in units of the cell vectors:
Th: 0.5000 0.5000 0.1723  6 O 2.27-2.35
Th: 0.0000 0.0000 0.6723  6 O 2.27-2.35
Ni: 0.5000 0.5000 0.5019  6 O 2.12-2.22
Ni: 0.0000 0.0000 0.0019  6 O 2.12-2.22
Te: 0.5000 0.5000 0.8339  6 O 1.96-1.97
Te: 0.0000 0.0000 0.3339  6 O 1.96-1.97
O: 0.1935 0.8065 0.4771  1 Te 1.96, 1 Ni 2.17
O: 0.8065 0.1935 0.4771  1 Te 1.96, 1 Ni 2.17
O: 0.3065 0.3065 0.9771  1 Te 1.96, 1 Ni 2.17
O: 0.6935 0.6935 0.9771  1 Te 1.96, 1 Ni 2.17
O: 0.1751 0.8249 0.1778  1 Te 1.97, 1 Ni 2.12
O: 0.8249 0.1751 0.1778  1 Te 1.97, 1 Ni 2.12
O: 0.3249 0.3249 0.6778  1 Te 1.97, 1 Ni 2.12
O: 0.6751 0.6751 0.6778  1 Te 1.97, 1 Ni 2.12
O: 0.7786 0.2214 0.8410  1 Te 1.96
O: 0.2214 0.7786 0.8410  1 Te 1.96
O: 0.7214 0.7214 0.3410  1 Te 1.96
O: 0.2786 0.2786 0.3410  1 Te 1.96

---

[5]
The following is a GGA+U calculation of a geometry-optimized ThNiTe2O8 structure, from Alexandria via LeMat-Bulk.

Values from the calculation:
M_tot (μB per formula unit): 0.52
Electronic total energy (eV/atom): -6.05

abc: 6.2186 6.2186 6.0622
angles: 90.00 90.00 120.00
With the nearest neighbours (Å) after each atom.
Sites, in units of the cell vectors:
Th: 0.0000 0.0000 0.0000  6 O 2.31
Ni: 0.0000 0.0000 0.5000  6 O 2.13
Te: 0.6667 0.3333 0.3375  4 O 1.81-2.01
Te: 0.3333 0.6667 0.6625  4 O 1.81-2.01
O: 0.8494 0.1506 0.2721  1 Te 2.01, 1 Ni 2.13
O: 0.8494 0.6987 0.2721  1 Te 2.01, 1 Ni 2.13
O: 0.3013 0.1506 0.2721  1 Te 2.01, 1 Ni 2.13
O: 0.6987 0.8494 0.7279  1 Te 2.01, 1 Ni 2.13
O: 0.3333 0.6667 0.3643  1 Te 1.81
O: 0.6667 0.3333 0.6357  1 Te 1.81
O: 0.1506 0.8494 0.7279  1 Te 2.01, 1 Ni 2.13
O: 0.1506 0.3013 0.7279  1 Te 2.01, 1 Ni 2.13

---

[6]
The following is a GGA+U calculation of a geometry-optimized TlNi2TeO6 structure, from Alexandria via LeMat-Bulk.

Values from the calculation:
M_tot (μB per formula unit): 3.90
Electronic total energy (eV/atom): -4.96

abc: 5.3915 5.3929 5.8092
angles: 62.38 62.40 60.00
With the nearest neighbours (Å) after each atom.
Sites, in units of the cell vectors:
Tl: 0.7970 0.7974 0.6083  3 O 2.29
Ni: 0.5235 0.5236 0.4296  6 O 2.10-2.24
Ni: 0.0100 0.0099 0.9705  6 O 2.05-2.19
Te: 0.3217 0.3217 0.0349  6 O 1.98-2.01
O: 0.5855 0.2522 0.2252  1 Te 1.98, 2 Ni 2.10-2.19
O: 0.2528 0.9371 0.2248  1 Te 1.98, 2 Ni 2.10-2.19
O: 0.9374 0.5852 0.2253  1 Te 1.98, 2 Ni 2.10-2.19
O: 0.3606 0.7136 0.7655  1 Te 2.01, 2 Ni 2.05-2.24
O: 0.7135 0.1600 0.7656  1 Te 2.01, 2 Ni 2.05-2.24
O: 0.1598 0.3609 0.7655  1 Te 2.01, 2 Ni 2.05-2.24

---

Among the records above, which one has the highest electronic total energy?
Ni3TeO

---

Please write out number 3 again, unchanged.
The following is a GGA+U calculation of a geometry-optimized Ni2Te3O8 structure, from Alexandria via LeMat-Bulk.

Values from the calculation:
M_tot (μB per formula unit): 3.94
Electronic total energy (eV/atom): -5.26

abc: 6.8202 6.8202 11.6084
angles: 82.14 82.14 45.64
With the nearest neighbours (Å) after each atom.
Sites, in units of the cell vectors:
Ni: 0.0569 0.4136 0.1448  6 O 2.03-2.22
Ni: 0.5864 0.9431 0.3552  6 O 2.03-2.22
Ni: 0.9431 0.5864 0.8552  6 O 2.03-2.22
Ni: 0.4136 0.0569 0.6448  6 O 2.03-2.22
Te: 0.8243 0.1757 0.7500  4 O 1.90-2.12
Te: 0.1757 0.8243 0.2500  4 O 1.90-2.12
Te: 0.9539 0.3174 0.4434  3 O 1.91-1.99
Te: 0.6826 0.0461 0.0566  3 O 1.91-1.99
Te: 0.0461 0.6826 0.5566  3 O 1.91-1.99
Te: 0.3174 0.9539 0.9434  3 O 1.91-1.99
O: 0.2753 0.2588 0.9735  1 Te 1.97, 1 Ni 2.20
O: 0.7412 0.7247 0.5265  1 Te 1.97, 1 Ni 2.20
O: 0.7247 0.7412 0.0265  1 Te 1.97, 1 Ni 2.20
O: 0.2588 0.2753 0.4735  1 Te 1.97, 1 Ni 2.20
O: 0.5450 0.8546 0.8033  1 Te 1.91, 2 Ni 2.03-2.07
O: 0.1454 0.4550 0.6967  1 Te 1.91, 2 Ni 2.03-2.07
O: 0.4550 0.1454 0.1967  1 Te 1.91, 2 Ni 2.03-2.07
O: 0.8546 0.5450 0.3033  1 Te 1.91, 2 Ni 2.03-2.07
O: 0.9643 0.2620 0.8682  2 Te 1.99-2.12, 1 Ni 2.10
O: 0.7380 0.0357 0.6318  2 Te 1.99-2.12, 1 Ni 2.10
O: 0.0300 0.1330 0.1445  1 Te 1.90, 1 Ni 2.05
O: 0.8670 0.9700 0.3555  1 Te 1.90, 1 Ni 2.05
O: 0.9700 0.8670 0.8555  1 Te 1.90, 1 Ni 2.05
O: 0.1330 0.0300 0.6445  1 Te 1.90, 1 Ni 2.05
O: 0.2620 0.9643 0.3682  2 Te 1.99-2.12, 1 Ni 2.10
O: 0.0357 0.7380 0.1318  2 Te 1.99-2.12, 1 Ni 2.10

---

Among the records above, which one has the lowest electronic total energy?
ThNiTeO6

---

Which of these has the lowest electronic total energy?
ThNiTeO6